No. 1
LiV2Ni9 | PBE | optimized geometry

calculated formation energy	-179	meV per atom

Lattice parameters (Å, degrees): 3.5551 3.5551 10.5554 90.00 90.00 90.00
With the nearest neighbours (Å) after each atom.
Space group P4/mmm (No. 123)
Unique sites:
Li1 0.0000 0.0000 0.0000 (multiplicity 1)  12 Ni 2.51
V1 0.0000 0.0000 0.3245 (multiplicity 2)  12 Ni 2.42-2.57
Ni1 0.0000 0.5000 0.1684 (multiplicity 4)  2 V 2.42, 8 Ni 2.50-2.51, 2 Li 2.51
Ni2 0.0000 0.5000 0.5000 (multiplicity 2)  8 Ni 2.49-2.51, 4 V 2.57
Ni3 0.5000 0.5000 0.0000 (multiplicity 1)  8 Ni 2.51, 4 Li 2.51
Ni4 0.5000 0.5000 0.3350 (multiplicity 2)  8 Ni 2.49-2.50, 4 V 2.52

No. 2
Pm2Co3Ru | PBE | optimized geometry

calculated formation energy	-102	meV per atom

Lattice parameters (Å, degrees): 8.9880 5.2322 5.1884 90.00 124.78 90.00
With the nearest neighbours (Å) after each atom.
Space group C2/m (No. 12)
Unique sites:
Pm1 0.1262 0.0000 0.3742 (multiplicity 4)  9 Co 3.03-3.07, 3 Ru 3.06, 4 Pm 3.19-3.20
Co1 0.0000 0.5000 0.5000 (multiplicity 2)  2 Ru 2.59, 4 Co 2.62
Co2 0.2500 0.2500 0.0000 (multiplicity 4)  2 Ru 2.60, 4 Co 2.62
Ru1 0.0000 0.5000 0.0000 (multiplicity 2)  6 Co 2.59-2.60

No. 3
LaCdN | PBE | optimized geometry

uncorrected formation energy	-16.0	kcal/mol of atoms

Lattice parameters (Å, degrees): 6.2893 6.2893 7.2347 90.00 90.13 90.00
With the nearest neighbours (Å) after each atom.
Space group C2/m (No. 12)
Unique sites:
La1 0.2504 0.0000 0.1316 (multiplicity 4)  4 N 2.42
Cd1 0.2493 0.0000 0.6191 (multiplicity 4)  6 La 3.53-3.71, 4 N 3.54, 4 Cd 3.57-3.60
N1 0.0000 0.2500 0.0000 (multiplicity 4)  4 La 2.42